Record 1
Density functional theory data (PBE) for Cr2OsRu after structural relaxation.

a = 4.952 Å, b = 4.952 Å, c = 4.952 Å
α = 146.08°, β = 127.72°, γ = 63.80°
Sites, in units of the cell vectors:
Cr (0.245, 0.245, 0.000)
Cr (0.755, 0.755, 0.000)
Os (0.000, 0.500, 0.500)
Ru (0.500, 0.000, 0.500)

Summary:
- Theoretical density: 12.38 Mg/m³
- ΔH_f (0 K): 0.311 eV/atom

=====

Record 2
Density functional theory data (PBE) for Ba4P3 after structural relaxation.

a = 6.261 Å, b = 6.261 Å, c = 6.413 Å
α = 90.00°, β = 90.00°, γ = 120.00°
Sites, in units of the cell vectors:
Ba (0.000, 0.000, 0.231)
Ba (0.000, 0.000, 0.769)
Ba (0.333, 0.667, 0.500)
Ba (0.667, 0.333, 0.500)
P (0.000, 0.500, 0.000)
P (0.500, 0.000, 0.000)
P (0.500, 0.500, 0.000)

Summary:
- Theoretical density: 4.90 Mg/m³
- ΔH_f (0 K): -0.124 eV/atom

=====

Record 3
Density functional theory data (PBE) for RePb3I after structural relaxation.

a = 5.393 Å, b = 5.393 Å, c = 5.393 Å
α = 90.00°, β = 90.00°, γ = 90.00°
Sites, in units of the cell vectors:
Re (0.000, 0.000, 0.000)
Pb (0.000, 0.000, 0.500)
Pb (0.000, 0.500, 0.000)
Pb (0.500, 0.000, 0.000)
I (0.500, 0.500, 0.500)

Summary:
- Theoretical density: 9.90 Mg/m³
- Formation energy from raw total energies: 0.18 eV/atom

=====

Record 4
Density functional theory data (PBE) for Ac3LaIr3 after structural relaxation.

a = 10.486 Å, b = 10.486 Å, c = 10.486 Å
α = 109.47°, β = 109.47°, γ = 109.47°
Sites, in units of the cell vectors:
Ac (0.008, 0.017, 0.758)
Ac (0.008, 0.492, 0.250)
Ac (0.017, 0.758, 0.008)
Ac (0.250, 0.008, 0.492)
Ac (0.250, 0.742, 0.758)
Ac (0.483, 0.492, 0.742)
Ac (0.492, 0.250, 0.008)
Ac (0.492, 0.742, 0.483)
Ac (0.742, 0.483, 0.492)
Ac (0.742, 0.758, 0.250)
Ac (0.758, 0.008, 0.017)
Ac (0.758, 0.250, 0.742)
La (0.000, 0.250, 0.500)
La (0.250, 0.250, 0.250)
La (0.250, 0.500, 0.000)
La (0.500, 0.000, 0.250)
Ir (0.247, 0.750, 0.253)
Ir (0.247, 0.997, 0.994)
Ir (0.253, 0.247, 0.750)
Ir (0.253, 0.506, 0.503)
Ir (0.503, 0.253, 0.506)
Ir (0.503, 0.750, 0.997)
Ir (0.506, 0.503, 0.253)
Ir (0.750, 0.253, 0.247)
Ir (0.750, 0.997, 0.503)
Ir (0.994, 0.247, 0.997)
Ir (0.997, 0.503, 0.750)
Ir (0.997, 0.994, 0.247)

Summary:
- Theoretical density: 10.45 Mg/m³
- ΔH_f (0 K): -0.583 eV/atom

=====

Record 5
Density functional theory data (PBE) for Rb2BaPbI6 after structural relaxation.

a = 8.684 Å, b = 9.264 Å, c = 15.215 Å
α = 90.00°, β = 124.09°, γ = 90.00°
Sites, in units of the cell vectors:
Rb (0.213, 0.086, 0.247)
Rb (0.213, 0.414, 0.747)
Rb (0.787, 0.586, 0.253)
Rb (0.787, 0.914, 0.753)
Ba (0.500, 0.000, 0.000)
Ba (0.500, 0.500, 0.500)
Pb (0.000, 0.000, 0.500)
Pb (0.000, 0.500, 0.000)
I (0.115, 0.202, 0.935)
I (0.115, 0.298, 0.435)
I (0.241, 0.687, 0.937)
I (0.241, 0.813, 0.437)
I (0.367, 0.041, 0.741)
I (0.367, 0.459, 0.241)
I (0.633, 0.541, 0.759)
I (0.633, 0.959, 0.259)
I (0.759, 0.187, 0.563)
I (0.759, 0.313, 0.063)
I (0.885, 0.702, 0.565)
I (0.885, 0.798, 0.065)

Summary:
- Theoretical density: 4.18 Mg/m³
- Formation energy from raw total energies: -1.32 eV/atom

=====

Record 6
Density functional theory data (PBE) for In4I3Cl2 after structural relaxation.

a = 8.044 Å, b = 8.044 Å, c = 11.009 Å
α = 119.68°, β = 119.68°, γ = 32.64°
Sites, in units of the cell vectors:
In (0.101, 0.101, 0.457)
In (0.327, 0.327, 0.905)
In (0.673, 0.673, 0.095)
In (0.899, 0.899, 0.543)
I (0.000, 0.000, 0.000)
I (0.355, 0.355, 0.249)
I (0.645, 0.645, 0.751)
Cl (0.325, 0.325, 0.649)
Cl (0.675, 0.675, 0.351)

Summary:
- Theoretical density: 4.60 Mg/m³
- Formation energy from raw total energies: -0.59 eV/atom

=====

Record 7
Density functional theory data (PBE) for BeAg2O after structural relaxation.

a = 4.154 Å, b = 4.154 Å, c = 4.154 Å
α = 60.00°, β = 60.00°, γ = 60.00°
Sites, in units of the cell vectors:
Be (0.000, 0.000, 0.000)
Ag (0.250, 0.250, 0.250)
Ag (0.750, 0.750, 0.750)
O (0.500, 0.500, 0.500)

Summary:
- Theoretical density: 7.89 Mg/m³
- Formation energy from raw total energies: 0.19 eV/atom

=====

Record 8
Density functional theory data (PBE) for ThH3 after structural relaxation.

a = 3.476 Å, b = 3.476 Å, c = 3.476 Å
α = 90.00°, β = 90.00°, γ = 90.00°
Sites, in units of the cell vectors:
Th (0.000, 0.000, 0.000)
H (0.000, 0.500, 0.500)
H (0.500, 0.000, 0.500)
H (0.500, 0.500, 0.000)

Summary:
- Theoretical density: 9.30 Mg/m³
- Final energy: -4.684 eV per atom

=====

Record 9
Density functional theory data (PBE) for Hf3Co2Ge4 after structural relaxation.

a = 5.431 Å, b = 5.431 Å, c = 7.672 Å
α = 108.15°, β = 108.15°, γ = 43.36°
Sites, in units of the cell vectors:
Hf (0.000, 0.000, 0.000)
Hf (0.370, 0.370, 0.310)
Hf (0.630, 0.630, 0.690)
Co (0.309, 0.309, 0.628)
Co (0.691, 0.691, 0.372)
Ge (0.081, 0.081, 0.391)
Ge (0.297, 0.297, 0.925)
Ge (0.703, 0.703, 0.075)
Ge (0.919, 0.919, 0.609)

Summary:
- Theoretical density: 10.71 Mg/m³
- ΔH_f (0 K): -0.539 eV/atom

=====

Record 10
Density functional theory data (PBE) for CdIn2Au9 after structural relaxation.

a = 4.192 Å, b = 4.192 Å, c = 12.885 Å
α = 90.00°, β = 90.00°, γ = 90.00°
Sites, in units of the cell vectors:
Cd (0.000, 0.000, 0.000)
In (0.000, 0.000, 0.333)
In (0.000, 0.000, 0.667)
Au (0.000, 0.500, 0.166)
Au (0.000, 0.500, 0.500)
Au (0.000, 0.500, 0.834)
Au (0.500, 0.000, 0.166)
Au (0.500, 0.000, 0.500)
Au (0.500, 0.000, 0.834)
Au (0.500, 0.500, 0.000)
Au (0.500, 0.500, 0.334)
Au (0.500, 0.500, 0.666)

Summary:
- Theoretical density: 15.51 Mg/m³
- ΔH_f (0 K): -0.102 eV/atom

=====

Record 11
Density functional theory data (PBE) for Y7Cu2Pt2 after structural relaxation.

a = 6.661 Å, b = 6.661 Å, c = 7.133 Å
α = 90.00°, β = 90.00°, γ = 108.43°
Sites, in units of the cell vectors:
Y (0.000, 0.000, 0.000)
Y (0.000, 0.500, 0.266)
Y (0.000, 0.500, 0.734)
Y (0.500, 0.000, 0.266)
Y (0.500, 0.000, 0.734)
Y (0.500, 0.500, 0.261)
Y (0.500, 0.500, 0.739)
Cu (0.178, 0.178, 0.500)
Cu (0.822, 0.822, 0.500)
Pt (0.287, 0.713, 0.000)
Pt (0.713, 0.287, 0.000)

Summary:
- Theoretical density: 6.30 Mg/m³
- ΔH_f (0 K): -0.359 eV/atom

=====

Record 12
Density functional theory data (PBE) for Tc4IrPt after structural relaxation.

a = 5.069 Å, b = 5.069 Å, c = 5.069 Å
α = 60.00°, β = 60.00°, γ = 60.00°
Sites, in units of the cell vectors:
Tc (0.376, 0.376, 0.376)
Tc (0.376, 0.376, 0.873)
Tc (0.376, 0.873, 0.376)
Tc (0.873, 0.376, 0.376)
Ir (0.000, 0.000, 0.000)
Pt (0.750, 0.750, 0.750)

Summary:
- Theoretical density: 14.05 Mg/m³
- ΔH_f (0 K): 0.321 eV/atom

=====

Record 13
Density functional theory data (PBE) for NaP2CCl after structural relaxation.

a = 5.128 Å, b = 5.128 Å, c = 4.844 Å
α = 90.00°, β = 90.00°, γ = 90.00°
Sites, in units of the cell vectors:
Na (0.000, 0.000, 0.000)
P (0.000, 0.500, 0.000)
P (0.500, 0.000, 0.000)
C (0.500, 0.500, 0.500)
Cl (0.000, 0.000, 0.500)

Summary:
- Theoretical density: 1.73 Mg/m³
- Formation energy from raw total energies: 2.36 eV/atom

=====

Record 14
Density functional theory data (PBE) for TiNi2Rh after structural relaxation.

a = 4.184 Å, b = 4.184 Å, c = 4.184 Å
α = 60.00°, β = 60.00°, γ = 60.00°
Sites, in units of the cell vectors:
Ti (0.000, 0.000, 0.000)
Ni (0.250, 0.250, 0.250)
Ni (0.750, 0.750, 0.750)
Rh (0.500, 0.500, 0.500)

Summary:
- Theoretical density: 8.60 Mg/m³
- ΔH_f (0 K): -0.309 eV/atom

=====

Record 15
Density functional theory data (PBE) for CeEr2Ga6 after structural relaxation.

a = 7.322 Å, b = 7.322 Å, c = 4.091 Å
α = 90.00°, β = 90.00°, γ = 120.00°
Sites, in units of the cell vectors:
Ce (0.000, 0.000, 0.000)
Er (0.333, 0.667, 0.000)
Er (0.667, 0.333, 0.000)
Ga (0.000, 0.334, 0.500)
Ga (0.000, 0.666, 0.500)
Ga (0.334, 0.000, 0.500)
Ga (0.334, 0.334, 0.500)
Ga (0.666, 0.000, 0.500)
Ga (0.666, 0.666, 0.500)

Summary:
- Theoretical density: 7.81 Mg/m³
- ΔH_f (0 K): -0.597 eV/atom

=====

Record 16
Density functional theory data (PBE) for PrHo3Sb2 after structural relaxation.

a = 9.462 Å, b = 9.462 Å, c = 9.707 Å
α = 112.93°, β = 112.93°, γ = 26.62°
Sites, in units of the cell vectors:
Pr (0.111, 0.111, 0.122)
Pr (0.889, 0.889, 0.878)
Ho (0.058, 0.058, 0.675)
Ho (0.312, 0.312, 0.111)
Ho (0.357, 0.357, 0.524)
Ho (0.643, 0.643, 0.476)
Ho (0.688, 0.688, 0.889)
Ho (0.942, 0.942, 0.325)
Sb (0.245, 0.245, 0.713)
Sb (0.488, 0.488, 0.156)
Sb (0.512, 0.512, 0.844)
Sb (0.755, 0.755, 0.287)

Summary:
- Theoretical density: 8.18 Mg/m³
- Formation energy from raw total energies: -0.69 eV/atom

=====

Record 17
Density functional theory data (PBE) for CsHf2Ag after structural relaxation.

a = 11.097 Å, b = 11.097 Å, c = 11.097 Å
α = 152.36°, β = 152.36°, γ = 39.49°
Sites, in units of the cell vectors:
Cs (0.000, 0.000, 0.000)
Cs (0.750, 0.250, 0.500)
Hf (0.324, 0.625, 0.199)
Hf (0.375, 0.574, 0.699)
Hf (0.426, 0.125, 0.801)
Hf (0.875, 0.676, 0.301)
Ag (0.250, 0.750, 0.500)
Ag (0.500, 0.500, 0.000)

Summary:
- Theoretical density: 6.76 Mg/m³
- ΔH_f (0 K): 1.321 eV/atom

=====

Record 18
Density functional theory data (PBE) for Ta3NiBi after structural relaxation.

a = 4.687 Å, b = 4.687 Å, c = 4.687 Å
α = 90.00°, β = 90.00°, γ = 90.00°
Sites, in units of the cell vectors:
Ta (0.000, 0.000, 0.500)
Ta (0.000, 0.500, 0.000)
Ta (0.500, 0.000, 0.000)
Ni (0.000, 0.000, 0.000)
Bi (0.500, 0.500, 0.500)

Summary:
- Theoretical density: 13.07 Mg/m³
- ΔH_f (0 K): 0.779 eV/atom

=====

Record 19
Density functional theory data (PBE) for TiV2Au after structural relaxation.

a = 9.970 Å, b = 9.970 Å, c = 9.970 Å
α = 158.62°, β = 158.62°, γ = 30.42°
Sites, in units of the cell vectors:
Ti (0.000, 0.000, 0.000)
Ti (0.750, 0.250, 0.500)
V (0.112, 0.625, 0.987)
V (0.375, 0.362, 0.487)
V (0.638, 0.125, 0.013)
V (0.875, 0.888, 0.513)
Au (0.250, 0.750, 0.500)
Au (0.500, 0.500, 0.000)

Summary:
- Theoretical density: 8.75 Mg/m³
- ΔH_f (0 K): 0.362 eV/atom

=====

Record 20
Density functional theory data (PBE) for Hf2BePOs after structural relaxation.

a = 5.076 Å, b = 5.076 Å, c = 4.352 Å
α = 90.00°, β = 90.00°, γ = 90.00°
Sites, in units of the cell vectors:
Hf (0.000, 0.500, 0.000)
Hf (0.500, 0.000, 0.000)
Be (0.000, 0.000, 0.500)
P (0.500, 0.500, 0.500)
Os (0.500, 0.500, 0.000)

Summary:
- Theoretical density: 8.70 Mg/m³
- ΔH_f (0 K): 0.696 eV/atom

=====

| no. | calculated volume (Å³/atom) |
| --- | --- |
| 1 | 13.25 |
| 2 | 31.11 |
| 3 | 31.36 |
| 4 | 31.70 |
| 5 | 50.69 |
| 6 | 36.57 |
| 7 | 12.67 |
| 8 | 10.50 |
| 9 | 16.27 |
| 10 | 18.87 |
| 11 | 27.30 |
| 12 | 15.35 |
| 13 | 25.48 |
| 14 | 12.94 |
| 15 | 21.11 |
| 16 | 29.73 |
| 17 | 36.69 |
| 18 | 20.59 |
| 19 | 16.46 |
| 20 | 22.42 |